Version one
AlPdCl2 GGA-PBE relaxed; N(E_F) = 1.12 states/eV per atom
1.0
0.000 3.323 3.323
3.323 0.000 3.323
3.323 3.323 0.000
Al Pd Cl
1 1 2
Cartesian
0.000 0.000 0.000 Al
3.323 3.323 3.323 Pd
1.661 1.661 1.661 Cl
4.984 4.984 4.984 Cl

Version two
AlPdCl2 GGA-PBE relaxed; N(E_F) = 1.12 states/eV per atom
1.0
1.673 0.966 8.306
-1.673 0.966 8.306
0.000 -1.932 8.306
Al Pd Cl
1 1 2
Cartesian
0.000 0.000 0.000 Al
0.000 0.000 12.459 Pd
0.000 0.000 2.275 Cl
0.000 0.000 22.643 Cl

Quick look at relative energies in meV/atom: version one 65; version two 0.

Version one
Pr2AlCl GGA-PBE relaxed; N(E_F) = 0.60 states/eV per atom
1.0
3.495 0.000 0.000
0.000 3.495 0.000
0.000 0.000 8.428
Pr Al Cl
2 1 1
Cartesian
0.000 0.000 2.013 Pr
0.000 0.000 6.415 Pr
1.748 1.748 0.000 Al
1.748 1.748 4.214 Cl

Version two
Pr2AlCl GGA-PBE relaxed; N(E_F) = 0.45 states/eV per atom
1.0
1.951 1.126 8.399
-1.951 1.126 8.399
0.000 -2.253 8.399
Pr Al Cl
2 1 1
Cartesian
0.000 0.000 6.311 Pr
0.000 0.000 18.887 Pr
0.000 0.000 0.000 Al
0.000 0.000 12.599 Cl

Quick look at relative energies in meV/atom: version one 0; version two 22.

Version one
AlPtCl2 GGA-PBE relaxed; N(E_F) = 0.37 states/eV per atom
1.0
1.527 -3.586 0.000
1.527 3.586 0.000
0.000 0.000 9.102
Al Pt Cl
1 1 2
Cartesian
0.000 0.000 0.000 Al
1.527 0.000 7.261 Pt
0.000 0.000 5.280 Cl
1.527 0.000 1.762 Cl

Version two
AlPtCl2 GGA-PBE relaxed; N(E_F) = 0.55 states/eV per atom
1.0
1.575 0.909 8.417
-1.575 0.909 8.417
0.000 -1.818 8.417
Al Pt Cl
1 1 2
Cartesian
0.000 0.000 0.000 Al
0.000 0.000 12.626 Pt
0.000 0.000 6.854 Cl
0.000 0.000 18.399 Cl

Quick look at relative energies in meV/atom: version one 0; version two 546.

Version one
AlPtCl2 GGA-PBE relaxed; N(E_F) = 0.85 states/eV per atom
1.0
1.515 -2.700 0.000
1.515 2.700 0.000
0.000 0.000 9.298
Al Pt Cl
1 1 2
Cartesian
0.000 0.000 0.000 Al
0.000 0.000 4.649 Pt
1.515 0.000 1.749 Cl
1.515 0.000 7.549 Cl

Version two
AlPtCl2 GGA-PBE relaxed; N(E_F) = 0.55 states/eV per atom
1.0
3.095 0.000 0.000
0.000 3.095 0.000
0.000 0.000 8.519
Al Pt Cl
1 1 2
Cartesian
0.000 0.000 0.000 Al
1.548 1.548 7.117 Pt
0.000 0.000 5.339 Cl
1.548 1.548 1.719 Cl

Version three
AlPtCl2 GGA-PBE relaxed; N(E_F) = 0.06 states/eV per atom
1.0
-2.160 2.160 8.286
2.160 -2.160 8.286
2.160 2.160 -8.286
Al Pt Cl
2 2 4
Cartesian
0.000 0.000 0.000 Al
0.000 2.160 4.143 Al
2.160 0.000 4.143 Pt
0.000 0.000 8.286 Pt
3.239 1.066 -2.071 Cl
1.066 1.080 2.071 Cl
-1.080 1.093 6.214 Cl
1.093 1.080 10.357 Cl

Quick look at relative energies in meV/atom: version one 491; version two 0; version three 396.

Version one
AlPtCl2 GGA-PBE relaxed; N(E_F) = 1.05 states/eV per atom
1.0
2.967 0.000 0.000
0.000 2.967 0.000
0.000 0.000 9.390
Al Pt Cl
1 1 2
Cartesian
0.000 0.000 0.000 Al
0.000 0.000 4.695 Pt
1.483 1.483 1.541 Cl
1.483 1.483 7.849 Cl

Version two
AlPtCl2 GGA-PBE relaxed; N(E_F) = 1.06 states/eV per atom
1.0
0.000 3.315 3.315
3.315 0.000 3.315
3.315 3.315 0.000
Al Pt Cl
1 1 2
Cartesian
0.000 0.000 0.000 Al
3.315 3.315 3.315 Pt
1.657 1.657 1.657 Cl
4.972 4.972 4.972 Cl

Version three
AlPtCl2 GGA-PBE relaxed; N(E_F) = 0.82 states/eV per atom
1.0
0.000 3.277 3.277
3.277 0.000 3.277
3.277 3.277 0.000
Al Pt Cl
1 1 2
Cartesian
0.000 0.000 0.000 Al
1.638 1.638 1.638 Pt
3.277 3.277 3.277 Cl
4.915 4.915 4.915 Cl

Quick look at relative energies in meV/atom: version one 129; version two 183; version three 0.

Version one
AlPtCl2 GGA-PBE relaxed; N(E_F) = 0.50 states/eV per atom
1.0
-1.560 2.149 6.972
1.560 -2.149 6.972
1.560 2.149 -6.972
Al Pt Cl
1 1 2
Cartesian
0.000 0.000 0.000 Al
0.000 0.000 6.972 Pt
1.560 0.000 1.881 Cl
0.000 2.149 5.091 Cl

Version two
AlPtCl2 GGA-PBE relaxed; N(E_F) = 0.22 states/eV per atom
1.0
3.455 -1.529 0.000
3.455 1.529 0.000
-2.484 0.000 8.476
Al Pt Cl
1 1 2
Cartesian
0.000 0.000 0.000 Al
-0.488 0.000 7.056 Pt
1.780 0.000 5.342 Cl
3.712 0.000 1.717 Cl

Version three
AlPtCl2 GGA-PBE relaxed; N(E_F) = 0.19 states/eV per atom
1.0
5.093 0.000 0.000
0.000 3.555 0.000
-2.473 0.000 4.460
Al Pt Cl
1 1 2
Cartesian
0.000 0.000 0.000 Al
2.875 1.778 2.871 Pt
0.340 1.778 2.402 Cl
2.945 0.000 0.805 Cl

Version four
AlPtCl2 GGA-PBE relaxed; N(E_F) = 0.32 states/eV per atom
1.0
1.580 0.912 8.604
-1.580 0.912 8.604
0.000 -1.825 8.604
Al Pt Cl
1 1 2
Cartesian
0.000 0.000 0.000 Al
0.000 0.000 12.905 Pt
0.000 0.000 10.571 Cl
0.000 0.000 15.239 Cl

Quick look at relative energies in meV/atom: version one 325; version two 0; version three 172; version four 648.